! AcTb6SmEr2 | the Alexandria database | GGA-PBE | relaxed; values from VASP
&SYSTEM
  ibrav = 0, nat = 20, ntyp = 4
/
ATOMIC_SPECIES
Ac 227.00 Ac.upf
Tb 158.93 Tb.upf
Sm 150.36 Sm.upf
Er 167.26 Er.upf
CELL_PARAMETERS angstrom
9.136 -1.995 -2.070
0.985 8.627 -2.030
0.985 -2.349 8.546
ATOMIC_POSITIONS crystal
Ac 0.250 0.968 0.032
Ac 0.750 0.032 0.968
Tb 0.057 0.123 0.751
Tb 0.443 0.249 0.877
Tb 0.943 0.877 0.249
Tb 0.557 0.751 0.123
Tb 0.321 0.984 0.445
Tb 0.179 0.555 0.016
Tb 0.679 0.016 0.555
Tb 0.821 0.445 0.984
Tb 0.117 0.710 0.488
Tb 0.383 0.512 0.290
Tb 0.883 0.290 0.512
Tb 0.617 0.488 0.710
Sm 0.250 0.411 0.589
Sm 0.750 0.589 0.411
Er 0.451 0.799 0.687
Er 0.049 0.313 0.201
Er 0.549 0.201 0.313
Er 0.951 0.687 0.799
! * formation energy from the elements: 12.5 kJ per mole of atoms
! * space group: C2/c
! * V: 337 Å³/f.u.


! Li2MgIn | the Alexandria database | GGA-PBE | relaxed; values from VASP
&SYSTEM
  ibrav = 0, nat = 4, ntyp = 3
/
ATOMIC_SPECIES
Mg 24.30 Mg.upf
Li 6.94 Li.upf
In 114.82 In.upf
CELL_PARAMETERS angstrom
0.000 3.350 3.350
3.350 0.000 3.350
3.350 3.350 0.000
ATOMIC_POSITIONS crystal
Mg 0.000 0.000 0.000
Li 0.250 0.250 0.250
Li 0.750 0.750 0.750
In 0.500 0.500 0.500
! * formation energy from the elements: -22.1 kJ per mole of atoms
! * space group: Fm-3m
! * V: 75 Å³/f.u.